VASP calculation (GGA-PBE) on crystalline Zr3GeH3 at its relaxed geometry.

It has space group Pm-3n (No. 223), with a = 5.698 Å, b = 5.698 Å, c = 5.698 Å, α = 90.00°, β = 90.00° and γ = 90.00°. Symmetry generates all atoms from Zr at (0.000, 0.250, 0.500), Ge at (0.000, 0.000, 0.000) and H at (0.000, 0.500, 0.250).

The calculation puts the energy above the most stable polymorph in this dataset at 0.007 eV per atom. The value obtained for the raw total energy is -6.2263 eV per atom.

---

VASP calculation (GGA-PBE) on crystalline Rb2Sn5Pb4 at its relaxed geometry.

It has space group Fmmm (No. 69), with a = 6.919 Å, b = 11.602 Å, c = 19.937 Å, α = 90.00°, β = 90.00° and γ = 90.00°. Symmetry generates all atoms from Rb at (0.000, 0.000, 0.127), Sn at (0.000, 0.000, 0.500), Sn at (0.250, 0.250, 0.000), Sn at (0.250, 0.250, 0.250) and Pb at (0.000, 0.147, 0.364).

Its energy of formation from the pure elements is -0.01 eV/atom. The value obtained for the raw total energy is -3.3571 eV per atom.

---

VASP calculation (GGA-PBE) on crystalline Ac2TmSc at its relaxed geometry.

It has space group P4/mmm (No. 123), with a = 5.552 Å, b = 5.552 Å, c = 4.588 Å, α = 90.00°, β = 90.00° and γ = 90.00°. Symmetry generates all atoms from Ac at (0.000, 0.500, 0.000), Tm at (0.000, 0.000, 0.500) and Sc at (0.500, 0.500, 0.500).

The calculation puts the energy above the most stable polymorph in this dataset at 0.009 eV per atom. Its energy of formation from the pure elements is 0.09 eV/atom. The value obtained for the raw total energy is -4.6674 eV per atom.

---

VASP calculation (GGA-PBE) on crystalline CaAl2Ga4Ag at its relaxed geometry.

It has space group R-3m (No. 166, hexagonal axes), with a = 4.6119 Å, b = 4.6119 Å, c = 26.0203 Å, α = 90.00°, β = 90.00° and γ = 120.00°. Symmetry generates all atoms from Ca at (0.0000, 0.0000, 0.0000), Al at (0.0000, 0.0000, 0.2469), Ga at (0.0000, 0.0000, 0.1314), Ga at (0.0000, 0.0000, 0.3954) and Ag at (0.0000, 0.0000, 0.5000).

Its energy of formation from the pure elements is -0.11 eV/atom. The value obtained for the raw total energy is -3.1676 eV per atom.

---

VASP calculation (GGA-PBE) on crystalline Nd3EuH at its relaxed geometry.

It has space group Pm-3m (No. 221), with a = 5.215 Å, b = 5.215 Å, c = 5.215 Å, α = 90.00°, β = 90.00° and γ = 90.00°. Symmetry generates all atoms from Nd at (0.000, 0.000, 0.500), Eu at (0.500, 0.500, 0.500) and H at (0.000, 0.000, 0.000).

The value obtained for the raw total energy is -5.7245 eV per atom.

---

VASP calculation (GGA-PBE) on crystalline PmPrPd at its relaxed geometry.

It has space group P3m1 (No. 156), with a = 4.8613 Å, b = 4.8613 Å, c = 4.0229 Å, α = 90.00°, β = 90.00° and γ = 120.00°. Symmetry generates all atoms from Pm at (0.0000, 0.0000, 0.0000), Pr at (0.3333, 0.6667, 0.4412) and Pd at (0.6667, 0.3333, 0.7485).

The calculation puts the energy above the most stable polymorph in this dataset at 0.119 eV per atom. Its energy of formation from the pure elements is -0.35 eV/atom. The value obtained for the raw total energy is -5.2568 eV per atom.

---

Among the records above, which one has the lowest raw total energy? Zr3GeH3

---

Which formula does entry 2 have? Rb2Sn5Pb4

---

Number 1 is which compound? Zr3GeH3

---

What is the raw total energy in the third record? -4.6674 eV per atom